Computed, not measured: an optimized crystal structure of Sc3AgN at the PBE-GGA level of DFT.

- VASP energy: -68.79 eV/cell
- Relative energy among the computed polymorphs: 75 meV per atom
- Formation energy (no corrections): -845 meV per atom

a = 5.4507 Å, b = 6.1765 Å, c = 6.1802 Å
α = 62.67°, β = 80.02°, γ = 79.95°
Space group P-1 (No. 2)
Inequivalent atoms, fractional coordinates:
Sc 0.1782 0.1662 0.1655 [2 per cell]
Sc 0.2864 0.1501 0.6795 [2 per cell]
Sc 0.2871 0.6794 0.1505 [2 per cell]
Ag 0.2704 0.6501 0.6492 [2 per cell]
N 0.0000 0.0000 0.0000 [1 per cell]
N 0.5000 0.0000 0.0000 [1 per cell]